DFT (PBE+U) results for a geometry-optimized Cs2CoHgF6 structure.

abc: 6.339 6.339 6.339
angles: 119.88 119.88 90.20
Fractional positions:
1 Cs 0.250 0.750 0.500
2 Cs 0.750 0.250 0.500
3 Co 0.000 0.000 0.000
4 Hg 0.500 0.500 0.000
5 F 0.213 0.213 0.426
6 F 0.213 0.787 0.000
7 F 0.214 0.214 0.000
8 F 0.786 0.786 0.000
9 F 0.787 0.213 0.000
10 F 0.787 0.787 0.574

- D(E_F): 5.1 states/eV/f.u.
- Uncorrected energy: -3.888 eV/atom